DFT (PBE with a Hubbard U) results for a relaxed RbTl2VO6 crystal.

a = 6.8715 Å, b = 8.0781 Å, c = 8.0781 Å
α = 104.26°, β = 75.11°, γ = 75.11°
Sites, in units of the cell vectors:
V (0.2500, 0.1882, 0.8118)
O (0.9834, 0.6574, 0.1767)
Tl (0.1474, 0.4535, 0.2896)
Tl (0.3526, 0.7104, 0.5465)
O (0.5166, 0.8233, 0.3426)
O (0.7841, 0.0257, 0.2304)
O (0.7159, 0.7696, 0.9743)
O (0.2841, 0.2304, 0.0257)
Tl (0.8526, 0.5465, 0.7104)
V (0.7500, 0.8118, 0.1882)
Tl (0.6474, 0.2896, 0.4535)
Rb (0.7500, 0.1075, 0.8925)
O (0.4834, 0.1767, 0.6574)
O (0.4689, 0.4429, 0.3129)
O (0.0311, 0.6871, 0.5571)
O (0.9689, 0.3129, 0.4429)
O (0.0166, 0.3426, 0.8233)
Rb (0.2500, 0.8925, 0.1075)
O (0.5311, 0.5571, 0.6871)
O (0.2159, 0.9743, 0.7696)

## Properties
- electronic total energy (eV per atom) = -5.56